Here is a relaxed Tm2CdIn5 crystal from the Alexandria database. Energies are from PBE.

## Properties
Total energy in eV per cell: -52.8
D(E_F) in states/eV/f.u.: 3.996
Magnetization in μB/cell: 0.000

Cell: 4.627 6.457 12.941 Å, 90.00 90.00 90.00°
Fractional coordinates of all 16 atoms:
Tm: 0.500 0.259 0.628
Tm: 0.500 0.741 0.372
Tm: 0.500 0.759 0.872
Tm: 0.500 0.241 0.128
In: 0.000 0.493 0.247
In: 0.000 0.007 0.747
In: 0.000 0.507 0.753
In: 0.500 0.740 0.121
In: 0.000 0.993 0.253
In: 0.500 0.260 0.879
In: 0.000 0.500 0.500
In: 0.500 0.760 0.621
In: 0.000 0.000 0.000
In: 0.500 0.240 0.379
Cd: 0.000 0.000 0.500
Cd: 0.000 0.500 0.000

=====

Here is a relaxed TmCd2In crystal from the Alexandria database. Energies are from PBE.

## Properties
Total energy in eV per cell: -7.2
D(E_F) in states/eV/f.u.: 3.755
Magnetization in μB/cell: 0.001

Cell: 5.789 5.078 5.078 Å, 60.00 90.00 90.00°
Fractional coordinates of all 4 atoms:
In: 0.500 0.667 0.667
Cd: 0.500 0.333 0.333
Cd: 0.500 0.000 0.000
Tm: 0.000 0.000 0.000

=====

Here is a relaxed TmCd2In2 crystal from the Alexandria database. Energies are from PBE.

## Properties
Total energy in eV per cell: -25.9
D(E_F) in states/eV/f.u.: 2.755
Magnetization in μB/cell: 0.000

Cell: 4.522 4.510 11.953 Å, 90.00 100.90 90.00°
Fractional coordinates of all 10 atoms:
Tm: 0.646 0.750 0.292
Tm: 0.354 0.250 0.708
Cd: 0.544 0.250 0.088
Cd: 0.456 0.750 0.912
Cd: 0.952 0.250 0.904
Cd: 0.048 0.750 0.096
In: 0.749 0.250 0.498
In: 0.857 0.750 0.713
In: 0.143 0.250 0.287
In: 0.251 0.750 0.502

=====

no.,formation enthalpy at 0 K (eV/atom)
1,-0.355
2,0.456
3,-0.233